# Ca3SnP

A PBEsol-optimized structure of Ca3SnP (SCAN, the Alexandria database).

Lattice parameters (Å, degrees): 5.3552 5.3552 5.3552 90.00 90.00 90.00
Closest atoms and distances in Å follow each position.
Element x y z (fractional)
Ca  0.0000  0.0000  0.5000  2 P 2.68
Ca  0.0000  0.5000  0.0000  2 P 2.68
Ca  0.5000  0.0000  0.0000  2 P 2.68
Sn  0.5000  0.5000  0.5000  12 Ca 3.79
P  0.0000  0.0000  0.0000  6 Ca 2.68

Values from the calculation:
E_form in eV per atom: -0.848
Total moment in μB per formula unit: 0.74